Computed, not measured: a relaxed CrSnGeO6 crystal at the PBE+U level of DFT.

Cell: 4.5913 4.5913 9.1715 Å, 90.00 90.00 90.00°
Positions (direct):
Cr  0.0000  0.0000  0.0000
Cr  0.5000  0.5000  0.5000
Sn  0.0000  0.0000  0.6682
Sn  0.5000  0.5000  0.1682
Ge  0.0000  0.0000  0.3331
Ge  0.5000  0.5000  0.8331
O  0.1830  0.1830  0.1696
O  0.2008  0.2008  0.4910
O  0.2037  0.2037  0.8422
O  0.2963  0.7037  0.3422
O  0.2992  0.7008  0.9910
O  0.3170  0.6830  0.6696
O  0.6830  0.3170  0.6696
O  0.7008  0.2992  0.9910
O  0.7037  0.2963  0.3422
O  0.7963  0.7963  0.8422
O  0.7992  0.7992  0.4910
O  0.8170  0.8170  0.1696

## Properties
Total moment, Bohr magnetons per cell: 4.00
Space group: P4_2nm, No. 102
Raw total energy, eV per atom: -6.673